No. 1
DFT (PBE-GGA) results for crystalline La2Pr3Zn2 at its relaxed geometry.

Cell lengths 12.074, 4.822, 8.297 Å; angles 90.00, 115.15, 90.00 degrees
Space group C2/m (No. 12)
Unique sites:
La 0.143 0.000 0.305 x4
Pr 0.000 0.500 0.500 x2
Pr 0.134 0.500 0.973 x4
Zn 0.142 0.000 0.696 x4

Values from the calculation:
calculated total energy	-3.906	eV/atom
formation energy	-0.086	eV/atom
size of the total moment	0.00	μB/cell
N(E_F)	19.112	states/eV per cell
distance to the lowest polymorph of the same formula	41	meV per atom
density	6314	kg/m³

No. 2
DFT (PBE-GGA) results for crystalline CaAcRh at its relaxed geometry.

Cell lengths 5.871, 4.480, 7.632 Å; angles 90.00, 105.33, 90.00 degrees
Space group P2_1/m (No. 11)
Unique sites:
Ca 0.233 0.250 0.073 x2
Ac 0.274 0.250 0.579 x2
Rh 0.189 0.750 0.308 x2

Values from the calculation:
calculated total energy	-4.965	eV/atom
formation energy	-0.478	eV/atom
size of the total moment	0.00	μB/cell
N(E_F)	2.435	states/eV per cell
distance to the lowest polymorph of the same formula	0	meV per atom
density	6346	kg/m³

No. 3
DFT (PBE-GGA) results for crystalline PbI2N2 at its relaxed geometry.

Cell lengths 8.051, 4.651, 11.465 Å; angles 90.00, 93.05, 90.00 degrees
Space group C2/m (No. 12)
Unique sites:
Pb 0.000 0.000 0.000 x2
I 0.154 0.500 0.836 x4
N 0.051 0.000 0.469 x4

Values from the calculation:
ΔE_f (raw)	-37.7	kJ/mol of atoms
calculated total energy	-5.082	eV/atom
size of the total moment	0.00	μB/cell
N(E_F)	0.000	states/eV per cell
distance to the lowest polymorph of the same formula	0	meV per atom
density	3788	kg/m³

No. 4
DFT (PBE-GGA) results for crystalline P2AuCl at its relaxed geometry.

Cell lengths 2.707, 4.346, 7.446 Å; angles 90.00, 90.00, 90.00 degrees
Space group Pmmm (No. 47)
Unique sites:
P 0.000 0.000 0.148 x2
Au 0.500 0.500 0.000 x1
Cl 0.500 0.500 0.500 x1

Values from the calculation:
ΔE_f (raw)	34.3	kJ/mol of atoms
calculated total energy	-3.630	eV/atom
size of the total moment	0.00	μB/cell
N(E_F)	1.705	states/eV per cell
distance to the lowest polymorph of the same formula	360	meV per atom
density	5580	kg/m³

No. 5
DFT (PBE-GGA) results for crystalline CsRb2TiBr6 at its relaxed geometry.

Cell lengths 11.932, 11.932, 11.932 Å; angles 90.00, 90.00, 90.00 degrees
Space group Fm-3m (No. 225)
Unique sites:
Cs 0.000 0.000 0.000 x4
Rb 0.250 0.250 0.250 x8
Ti 0.000 0.000 0.500 x4
Br 0.000 0.000 0.283 x24

Values from the calculation:
ΔE_f (raw)	-142.2	kJ/mol of atoms
calculated total energy	-3.546	eV/atom
size of the total moment	4.00	μB/cell
N(E_F)	85.645	states/eV per cell
distance to the lowest polymorph of the same formula	49	meV per atom
density	3250	kg/m³

No. 6
DFT (PBE-GGA) results for crystalline SnMo3C at its relaxed geometry.

Cell lengths 4.909, 4.909, 4.909 Å; angles 90.00, 90.00, 90.00 degrees
Space group Pm-3m (No. 221)
Unique sites:
Sn 0.000 0.000 0.000 x1
Mo 0.000 0.000 0.500 x3
C 0.500 0.500 0.500 x1

Values from the calculation:
calculated total energy	-5.537	eV/atom
formation energy	3.607	eV/atom
size of the total moment	0.00	μB/cell
N(E_F)	10.731	states/eV per cell
distance to the lowest polymorph of the same formula	3471	meV per atom
density	5874	kg/m³

No. 7
DFT (PBE-GGA) results for crystalline Tc5Ir4 at its relaxed geometry.

Cell lengths 7.5244, 7.5244, 5.4275 Å; angles 90.00, 90.00, 120.00 degrees
Space group P6_3/mcm (No. 193)
Unique sites:
Tc 0.0000 0.3353 0.2500 x6
Tc 0.3333 0.6667 0.0000 x4
Ir 0.0000 0.0000 0.0000 x2
Ir 0.0000 0.3343 0.7500 x6

Values from the calculation:
calculated total energy	-9.693	eV/atom
formation energy	0.004	eV/atom
size of the total moment	0.00	μB/cell
N(E_F)	15.625	states/eV per cell
distance to the lowest polymorph of the same formula	141	meV per atom
density	15710	kg/m³

No. 8
DFT (PBE-GGA) results for crystalline BeSnSe2Br at its relaxed geometry.

Cell lengths 4.631, 4.631, 5.171 Å; angles 90.00, 90.00, 90.00 degrees
Space group P4/mmm (No. 123)
Unique sites:
Be 0.000 0.000 0.000 x1
Sn 0.500 0.500 0.500 x1
Se 0.000 0.500 0.000 x2
Br 0.000 0.000 0.500 x1

Values from the calculation:
ΔE_f (raw)	-13.0	kJ/mol of atoms
calculated total energy	-3.409	eV/atom
size of the total moment	0.00	μB/cell
N(E_F)	2.432	states/eV per cell
distance to the lowest polymorph of the same formula	0	meV per atom
density	5473	kg/m³